Crystalline K2BeAu at its relaxed geometry. Source: Alexandria, functional GGA-PBE.

As for the magnetization: 0.000 μB/f.u. The value obtained for the total energy is -17.66 eV/cell. Its formation energy from the elements is 0.369 eV per formula unit.

The structure belongs to space group Imm2 (No. 44); the cell edges are 4.242, 5.900 and 10.200 Å and the angles 90.00°, 90.00° and 90.00°. Symmetry generates all atoms from K at (0.000, 0.000, 0.000), K at (0.000, 0.500, 0.182), Be at (0.000, 0.000, 0.370) and Au at (0.000, 0.500, 0.808).

Crystalline KBe2Au2 at its relaxed geometry. Source: Alexandria, functional GGA-PBE.

As for the magnetization: 0.000 μB/f.u. The value obtained for the total energy is -28.95 eV/cell. Its formation energy from the elements is 0.631 eV per formula unit.

The structure belongs to space group P4/mbm (No. 127); the cell edges are 7.897, 7.897 and 2.754 Å and the angles 90.00°, 90.00° and 90.00°. Symmetry generates all atoms from K at (0.000, 0.000, 0.000), Be at (0.107, 0.393, 0.500) and Au at (0.161, 0.661, 0.000).

Crystalline K4BeAu at its relaxed geometry. Source: Alexandria, functional GGA-PBE.

As for the magnetization: 0.000 μB/f.u. The value obtained for the total energy is -28.99 eV/cell. Its formation energy from the elements is 4.147 eV per formula unit.

The structure belongs to space group F-43m (No. 216); the cell edges are 10.317, 10.317 and 10.317 Å and the angles 90.00°, 90.00° and 90.00°. Symmetry generates all atoms from K at (0.124, 0.124, 0.124), Be at (0.000, 0.000, 0.500) and Au at (0.250, 0.250, 0.750).

Crystalline K2BeAu at its relaxed geometry. Source: Alexandria, functional GGA-PBE.

As for the magnetization: 0.000 μB/f.u. The value obtained for the total energy is -8.92 eV/cell. Its formation energy from the elements is 0.282 eV per formula unit.

The structure belongs to space group Pm (No. 6); the cell edges are 5.377, 4.284 and 6.329 Å and the angles 90.00°, 115.05° and 90.00°. Symmetry generates all atoms from K at (0.000, 0.000, 0.000), K at (0.304, 0.500, 0.609), Be at (0.627, 0.500, 0.256) and Au at (0.685, 0.000, 0.370).

Crystalline K2BeAuN at its relaxed geometry. Source: Alexandria, functional GGA-PBE.

As for the magnetization: 0.000 μB/f.u. The value obtained for the total energy is -13.59 eV/cell. Its formation energy (no corrections) is 0.79 eV per atom.

The structure belongs to space group P4/mmm (No. 123); the cell edges are 6.458, 6.458 and 3.823 Å and the angles 90.00°, 90.00° and 90.00°. Symmetry generates all atoms from K at (0.000, 0.500, 0.000), Be at (0.000, 0.000, 0.500), Au at (0.500, 0.500, 0.000) and N at (0.500, 0.500, 0.500).

Crystalline KBe2NiAu at its relaxed geometry. Source: Alexandria, functional GGA-PBE.

As for the magnetization: 0.000 μB/f.u. The value obtained for the total energy is -12.67 eV/cell. Its formation energy from the elements is 4.936 eV per formula unit.

The structure belongs to space group P4/mmm (No. 123); the cell edges are 4.454, 4.454 and 5.806 Å and the angles 90.00°, 90.00° and 90.00°. Symmetry generates all atoms from K at (0.000, 0.000, 0.000), Be at (0.000, 0.500, 0.500), Ni at (0.500, 0.500, 0.000) and Au at (0.000, 0.000, 0.500).

Crystalline KBePAu at its relaxed geometry. Source: Alexandria, functional GGA-PBE.

As for the magnetization: 0.000 μB/f.u. The value obtained for the total energy is -27.34 eV/cell. Its formation energy from the elements is -0.157 eV per formula unit.

The structure belongs to space group Amm2 (No. 38); the cell edges are 2.901, 3.685 and 14.731 Å and the angles 90.00°, 90.00° and 90.00°. Symmetry generates all atoms from K at (0.000, 0.000, 0.000), Be at (0.000, 0.000, 0.236), P at (0.500, 0.000, 0.346) and Au at (0.500, 0.000, 0.678).

Crystalline K2BeP2Au at its relaxed geometry. Source: Alexandria, functional GGA-PBE.

As for the magnetization: 0.000 μB/f.u. The value obtained for the total energy is -85.49 eV/cell. Its formation energy from the elements is -1.355 eV per formula unit.

The structure belongs to space group Ibam (No. 72); the cell edges are 5.890, 15.939 and 5.724 Å and the angles 90.00°, 90.00° and 90.00°. Symmetry generates all atoms from K at (0.225, 0.171, 0.000), Be at (0.000, 0.500, 0.250), P at (0.204, 0.415, 0.000) and Au at (0.000, 0.000, 0.250).

Repeat the eighth record exactly.
Crystalline K2BeP2Au at its relaxed geometry. Source: Alexandria, functional GGA-PBE.

As for the magnetization: 0.000 μB/f.u. The value obtained for the total energy is -85.49 eV/cell. Its formation energy from the elements is -1.355 eV per formula unit.

The structure belongs to space group Ibam (No. 72); the cell edges are 5.890, 15.939 and 5.724 Å and the angles 90.00°, 90.00° and 90.00°. Symmetry generates all atoms from K at (0.225, 0.171, 0.000), Be at (0.000, 0.500, 0.250), P at (0.204, 0.415, 0.000) and Au at (0.000, 0.000, 0.250).

- The highest total energy belongs to which entry?
  number 4

- What is the total energy in the sixth record?
  -12.67 eV/cell